PrMoPb2O6: optimized geometry, PBE+U.

Properties
space-group type	P2_1/c, No. 14
uncorrected energy	-135.2	eV/cell

Cell: 5.7596 6.2883 8.6916 Å, 90.00 88.98 90.00°
Each line ends with the local moment (μB).
Sites, in units of the cell vectors:
Pr1 0.5000 0.0000 0.0000  0.01
Pr2 0.0000 0.5000 0.5000  0.01
Mo1 0.5000 0.0000 0.5000  0.97
Mo2 0.0000 0.5000 0.0000  0.97
Pb1 0.9921 0.9510 0.2758  0.01
Pb2 0.4921 0.5490 0.7758  0.01
Pb3 0.0079 0.0490 0.7242  0.01
Pb4 0.5079 0.4510 0.2242  0.01
O1 0.3065 0.6671 0.0189  0.01
O2 0.8065 0.8329 0.5189  0.01
O3 0.6935 0.3329 0.9811  0.01
O4 0.1935 0.1671 0.4811  0.01
O5 0.3274 0.7431 0.4589  -0.04
O6 0.8274 0.7569 0.9589  -0.04
O7 0.6726 0.2569 0.5411  -0.04
O8 0.1726 0.2431 0.0411  -0.04
O9 0.9198 0.5387 0.2324  0.01
O10 0.4198 0.9613 0.7324  0.01
O11 0.0802 0.4613 0.7676  0.01
O12 0.5802 0.0387 0.2676  0.01